# 1
# La3Pm8Er2

A relaxed structure of La3Pm8Er2 (PBE-GGA, the Alexandria database).

Calculated density ... 6.98 g/cm³
Formation enthalpy at 0 K ... 0.15 eV/atom
Relative energy among the computed polymorphs ... 0 meV per atom

Cell and atoms, written as CIF:
```
data_La3Pm8Er2
_chemical_formula_sum 'La6 Pm16 Er4'
_cell_length_a 13.374
_cell_length_b 11.857
_cell_length_c 6.230
_cell_angle_alpha 90.00
_cell_angle_beta 112.93
_cell_angle_gamma 90.00
_symmetry_space_group_name_H-M 'C 1 2/m 1'
_symmetry_Int_Tables_number 12
loop_
_symmetry_equiv_pos_as_xyz
'x,y,z'
'-x,-y,-z'
'-x,y,-z'
'x,-y,z'
'x+1/2,y+1/2,z'
'-x+1/2,-y+1/2,-z'
'-x+1/2,y+1/2,-z'
'x+1/2,-y+1/2,z'
loop_
_atom_site_label
_atom_site_fract_x
_atom_site_fract_y
_atom_site_fract_z
La1 0.000 0.000 0.000
La2 0.000 0.238 0.500
Pm1 0.057 0.500 0.287
Pm2 0.160 0.000 0.547
Pm3 0.176 0.256 0.177
Er1 0.209 0.500 0.863
```


# 2
# TbCeZn

A relaxed structure of TbCeZn (PBE-GGA, the Alexandria database).

Calculated density ... 7.68 g/cm³
Formation enthalpy at 0 K ... -0.13 eV/atom
Relative energy among the computed polymorphs ... 29 meV per atom

Cell and atoms, written as CIF:
```
data_TbCeZn
_chemical_formula_sum 'Tb2 Ce2 Zn2'
_cell_length_a 3.570
_cell_length_b 3.570
_cell_length_c 12.375
_cell_angle_alpha 90.00
_cell_angle_beta 90.00
_cell_angle_gamma 90.00
_symmetry_space_group_name_H-M 'I 4 m m'
_symmetry_Int_Tables_number 107
_symmetry_space_group_name_Hall 'I 4 -2'
loop_
_atom_site_label
_atom_site_fract_x
_atom_site_fract_y
_atom_site_fract_z
Tb1 0.000 0.000 0.000
Ce1 0.000 0.000 0.294
Zn1 0.000 0.000 0.641
```


# 3
# CeTh2Re

A relaxed structure of CeTh2Re (PBE-GGA, the Alexandria database).

Calculated density ... 12.74 g/cm³
Formation enthalpy at 0 K ... 0.08 eV/atom
Relative energy among the computed polymorphs ... 86 meV per atom

Cell and atoms, written as CIF:
```
data_CeTh2Re
_chemical_formula_sum 'Ce1 Th2 Re1'
_cell_length_a 3.570
_cell_length_b 3.570
_cell_length_c 8.080
_cell_angle_alpha 90.00
_cell_angle_beta 90.00
_cell_angle_gamma 90.00
_symmetry_space_group_name_H-M 'P 4/m m m'
_symmetry_Int_Tables_number 123
_symmetry_space_group_name_Hall '-P 4 2'
loop_
_atom_site_label
_atom_site_fract_x
_atom_site_fract_y
_atom_site_fract_z
Ce1 0.000 0.000 0.000
Th1 0.500 0.500 0.280
Re1 0.000 0.000 0.500
```


# 4
# NaSi3N

A relaxed structure of NaSi3N (PBE-GGA, the Alexandria database).

Calculated density ... 2.60 g/cm³
Relative energy among the computed polymorphs ... 0 meV per atom
Energy relative to the elements, uncorrected ... 0.77 eV per atom

Cell and atoms, written as CIF:
```
data_NaSi3N
_chemical_formula_sum 'Na1 Si3 N1'
_cell_length_a 4.261
_cell_length_b 4.261
_cell_length_c 4.261
_cell_angle_alpha 90.00
_cell_angle_beta 90.00
_cell_angle_gamma 90.00
_symmetry_space_group_name_H-M 'P m -3 m'
_symmetry_Int_Tables_number 221
_symmetry_space_group_name_Hall '-P 4 2 3'
loop_
_atom_site_label
_atom_site_fract_x
_atom_site_fract_y
_atom_site_fract_z
Na1 0.000 0.000 0.000
Si1 0.000 0.500 0.500
N1 0.500 0.500 0.500
```


# 5
# Nb2VH

A relaxed structure of Nb2VH (PBE-GGA, the Alexandria database).

Calculated density ... 7.12 g/cm³
Relative energy among the computed polymorphs ... 275 meV per atom

Cell and atoms, written as CIF:
```
data_Nb2VH
_chemical_formula_sum 'Nb8 V4 H4'
_cell_length_a 5.942
_cell_length_b 5.942
_cell_length_c 6.285
_cell_angle_alpha 90.00
_cell_angle_beta 90.00
_cell_angle_gamma 90.00
_symmetry_space_group_name_H-M 'I -4 2 d'
_symmetry_Int_Tables_number 122
_symmetry_space_group_name_Hall 'I -4 2bw'
loop_
_atom_site_label
_atom_site_fract_x
_atom_site_fract_y
_atom_site_fract_z
Nb1 0.172 0.250 0.125
V1 0.000 0.000 0.500
H1 0.000 0.000 0.000
```


# 6
# HoEr5Sc3

A relaxed structure of HoEr5Sc3 (PBE-GGA, the Alexandria database).

Calculated density ... 6.44 g/cm³
Formation enthalpy at 0 K ... 0.48 eV/atom

Cell and atoms, written as CIF:
```
data_HoEr5Sc3
_chemical_formula_sum 'Ho4 Er20 Sc12'
_cell_length_a 14.503
_cell_length_b 11.042
_cell_length_c 9.511
_cell_angle_alpha 90.00
_cell_angle_beta 129.76
_cell_angle_gamma 90.00
_symmetry_space_group_name_H-M 'C 1 2/m 1'
_symmetry_Int_Tables_number 12
loop_
_symmetry_equiv_pos_as_xyz
'x,y,z'
'-x,-y,-z'
'-x,y,-z'
'x,-y,z'
'x+1/2,y+1/2,z'
'-x+1/2,-y+1/2,-z'
'-x+1/2,y+1/2,-z'
'x+1/2,-y+1/2,z'
loop_
_atom_site_label
_atom_site_fract_x
_atom_site_fract_y
_atom_site_fract_z
Ho1 0.246 0.000 0.098
Er1 0.000 0.243 0.500
Er2 0.139 0.248 0.242
Er3 0.217 0.500 0.530
Er4 0.220 0.000 0.733
Sc1 0.000 0.000 0.000
Sc2 0.000 0.500 0.500
Sc3 0.013 0.000 0.318
Sc4 0.023 0.500 0.868
```


# 7
# BaTl8Pd4

A relaxed structure of BaTl8Pd4 (PBE-GGA, the Alexandria database).

Calculated density ... 11.59 g/cm³
Formation enthalpy at 0 K ... -0.17 eV/atom

Cell and atoms, written as CIF:
```
data_BaTl8Pd4
_chemical_formula_sum 'Ba2 Tl16 Pd8'
_cell_length_a 10.220
_cell_length_b 10.220
_cell_length_c 6.032
_cell_angle_alpha 90.00
_cell_angle_beta 90.00
_cell_angle_gamma 90.00
_symmetry_space_group_name_H-M 'I 4/m m m'
_symmetry_Int_Tables_number 139
_symmetry_space_group_name_Hall '-I 4 2'
loop_
_atom_site_label
_atom_site_fract_x
_atom_site_fract_y
_atom_site_fract_z
Ba1 0.000 0.000 0.000
Tl1 0.000 0.222 0.500
Tl2 0.000 0.341 0.000
Pd1 0.250 0.250 0.250
```


# 8
# Ga2AgPt

A relaxed structure of Ga2AgPt (PBE-GGA, the Alexandria database).

Calculated density ... 10.97 g/cm³
Formation enthalpy at 0 K ... -0.27 eV/atom
Relative energy among the computed polymorphs ... 50 meV per atom

Cell and atoms, written as CIF:
```
data_Ga2AgPt
_chemical_formula_sum 'Ga2 Ag1 Pt1'
_cell_length_a 3.525
_cell_length_b 4.415
_cell_length_c 4.837
_cell_angle_alpha 103.84
_cell_angle_beta 110.62
_cell_angle_gamma 95.78
_symmetry_space_group_name_H-M 'P 1'
_symmetry_Int_Tables_number 1
loop_
_symmetry_equiv_pos_as_xyz
'x,y,z'
loop_
_atom_site_label
_atom_site_fract_x
_atom_site_fract_y
_atom_site_fract_z
Ga1 0.000 0.000 0.000
Ga2 0.205 0.657 0.472
Ag1 0.498 0.466 0.964
Pt1 0.741 0.100 0.448
```


# 9
# HoPuAg

A relaxed structure of HoPuAg (PBE-GGA, the Alexandria database).

Calculated density ... 11.47 g/cm³
Formation enthalpy at 0 K ... -0.05 eV/atom
Relative energy among the computed polymorphs ... 0 meV per atom

Cell and atoms, written as CIF:
```
data_HoPuAg
_chemical_formula_sum 'Ho4 Pu4 Ag4'
_cell_length_a 3.683
_cell_length_b 16.253
_cell_length_c 4.997
_cell_angle_alpha 90.00
_cell_angle_beta 90.00
_cell_angle_gamma 90.00
_symmetry_space_group_name_H-M 'C m c m'
_symmetry_Int_Tables_number 63
_symmetry_space_group_name_Hall '-C 2c 2'
loop_
_atom_site_label
_atom_site_fract_x
_atom_site_fract_y
_atom_site_fract_z
Ho1 0.000 0.078 0.250
Pu1 0.000 0.240 0.750
Ag1 0.000 0.420 0.250
```


# 10
# Tl2ZnP

A relaxed structure of Tl2ZnP (PBE-GGA, the Alexandria database).

Calculated density ... 8.84 g/cm³
Formation enthalpy at 0 K ... 0.35 eV/atom
Relative energy among the computed polymorphs ... 357 meV per atom

Cell and atoms, written as CIF:
```
data_Tl2ZnP
_chemical_formula_sum 'Tl2 Zn1 P1'
_cell_length_a 4.006
_cell_length_b 4.412
_cell_length_c 5.370
_cell_angle_alpha 90.00
_cell_angle_beta 90.00
_cell_angle_gamma 90.00
_symmetry_space_group_name_H-M 'P m m m'
_symmetry_Int_Tables_number 47
loop_
_symmetry_equiv_pos_as_xyz
'x,y,z'
'-x,-y,-z'
'-x,-y,z'
'x,y,-z'
'x,-y,-z'
'-x,y,z'
'-x,y,-z'
'x,-y,z'
loop_
_atom_site_label
_atom_site_fract_x
_atom_site_fract_y
_atom_site_fract_z
Tl1 0.000 0.000 0.000
Tl2 0.000 0.500 0.500
Zn1 0.500 0.000 0.500
P1 0.500 0.500 0.000
```


# 11
# Sr8CdSn2

A relaxed structure of Sr8CdSn2 (PBE-GGA, the Alexandria database).

Calculated density ... 3.82 g/cm³
Formation enthalpy at 0 K ... -0.36 eV/atom

Cell and atoms, written as CIF:
```
data_Sr8CdSn2
_chemical_formula_sum 'Sr16 Cd2 Sn4'
_cell_length_a 20.875
_cell_length_b 5.630
_cell_length_c 8.075
_cell_angle_alpha 90.00
_cell_angle_beta 105.93
_cell_angle_gamma 90.00
_symmetry_space_group_name_H-M 'C 1 2/m 1'
_symmetry_Int_Tables_number 12
loop_
_symmetry_equiv_pos_as_xyz
'x,y,z'
'-x,-y,-z'
'-x,y,-z'
'x,-y,z'
'x+1/2,y+1/2,z'
'-x+1/2,-y+1/2,-z'
'-x+1/2,y+1/2,-z'
'x+1/2,-y+1/2,z'
loop_
_atom_site_label
_atom_site_fract_x
_atom_site_fract_y
_atom_site_fract_z
Sr1 0.033 0.000 0.284
Sr2 0.096 0.500 0.949
Sr3 0.164 0.500 0.457
Sr4 0.206 0.000 0.807
Cd1 0.000 0.500 0.500
Sn1 0.192 0.000 0.213
```


# 12
# Sr3SmDy2Se6

A relaxed structure of Sr3SmDy2Se6 (PBE-GGA, the Alexandria database).

Calculated density ... 6.14 g/cm³
Energy relative to the elements, uncorrected ... -1.89 eV per atom

Cell and atoms, written as CIF:
```
data_Sr3SmDy2Se6
_chemical_formula_sum 'Sr6 Sm2 Dy4 Se12'
_cell_length_a 7.318
_cell_length_b 12.660
_cell_length_c 7.481
_cell_angle_alpha 90.00
_cell_angle_beta 109.05
_cell_angle_gamma 90.00
_symmetry_space_group_name_H-M 'C 1 2/m 1'
_symmetry_Int_Tables_number 12
loop_
_symmetry_equiv_pos_as_xyz
'x,y,z'
'-x,-y,-z'
'-x,y,-z'
'x,-y,z'
'x+1/2,y+1/2,z'
'-x+1/2,-y+1/2,-z'
'-x+1/2,y+1/2,-z'
'x+1/2,-y+1/2,z'
loop_
_atom_site_label
_atom_site_fract_x
_atom_site_fract_y
_atom_site_fract_z
Sr1 0.000 0.000 0.000
Sr2 0.000 0.335 0.000
Sm1 0.000 0.500 0.500
Dy1 0.000 0.167 0.500
Se1 0.238 0.000 0.732
Se2 0.247 0.331 0.733
```


Repeat the seventh record exactly.
# BaTl8Pd4

A relaxed structure of BaTl8Pd4 (PBE-GGA, the Alexandria database).

Calculated density ... 11.59 g/cm³
Formation enthalpy at 0 K ... -0.17 eV/atom

Cell and atoms, written as CIF:
```
data_BaTl8Pd4
_chemical_formula_sum 'Ba2 Tl16 Pd8'
_cell_length_a 10.220
_cell_length_b 10.220
_cell_length_c 6.032
_cell_angle_alpha 90.00
_cell_angle_beta 90.00
_cell_angle_gamma 90.00
_symmetry_space_group_name_H-M 'I 4/m m m'
_symmetry_Int_Tables_number 139
_symmetry_space_group_name_Hall '-I 4 2'
loop_
_atom_site_label
_atom_site_fract_x
_atom_site_fract_y
_atom_site_fract_z
Ba1 0.000 0.000 0.000
Tl1 0.000 0.222 0.500
Tl2 0.000 0.341 0.000
Pd1 0.250 0.250 0.250
```


The lowest calculated density belongs to which entry? NaSi3N


Among the records above, which one has the lowest calculated density? NaSi3N